# 1
## ThPaTcAg (GGA-PBE)

Data for a geometry-optimized ThPaTcAg structure.

Calculated values
DOS at the Fermi energy: 21.54 states/eV per cell
crystal system: cubic
DFT total energy: -119.274 eV per cell
energy of formation: 0.08 eV per atom

a = 7.1631 Å, b = 7.1631 Å, c = 7.1631 Å
α = 90.00°, β = 90.00°, γ = 90.00°
Space group F-43m (No. 216)
Inequivalent atoms, fractional coordinates:
Th: 0.0000 0.0000 0.0000 (multiplicity 4)
Pa: 0.0000 0.0000 0.5000 (multiplicity 4)
Tc: 0.2500 0.2500 0.2500 (multiplicity 4)
Ag: 0.2500 0.2500 0.7500 (multiplicity 4)

# 2
## TmPaTcAg (GGA-PBE)

Data for a geometry-optimized TmPaTcAg structure.

Calculated values
DOS at the Fermi energy: 25.02 states/eV per cell
crystal system: cubic
DFT total energy: -108.986 eV per cell
energy of formation: -0.02 eV per atom

a = 7.0097 Å, b = 7.0097 Å, c = 7.0097 Å
α = 90.00°, β = 90.00°, γ = 90.00°
Space group F-43m (No. 216)
Inequivalent atoms, fractional coordinates:
Tm: 0.0000 0.0000 0.0000 (multiplicity 4)
Pa: 0.0000 0.0000 0.5000 (multiplicity 4)
Tc: 0.2500 0.2500 0.7500 (multiplicity 4)
Ag: 0.2500 0.2500 0.2500 (multiplicity 4)

# 3
## YPaTcAg (GGA-PBE)

Data for a geometry-optimized YPaTcAg structure.

Calculated values
DOS at the Fermi energy: 25.23 states/eV per cell
crystal system: cubic
DFT total energy: -116.270 eV per cell
energy of formation: 0.03 eV per atom

a = 7.0555 Å, b = 7.0555 Å, c = 7.0555 Å
α = 90.00°, β = 90.00°, γ = 90.00°
Space group F-43m (No. 216)
Inequivalent atoms, fractional coordinates:
Y: 0.0000 0.0000 0.0000 (multiplicity 4)
Pa: 0.0000 0.0000 0.5000 (multiplicity 4)
Tc: 0.2500 0.2500 0.2500 (multiplicity 4)
Ag: 0.2500 0.2500 0.7500 (multiplicity 4)

# 4
## Pa2AgTe4 (GGA-PBE)

Data for a geometry-optimized Pa2AgTe4 structure.

Calculated values
DOS at the Fermi energy: 59.16 states/eV per cell
crystal system: orthorhombic
DFT total energy: -154.357 eV per cell
E_form (uncorrected): -597 meV/atom

a = 8.9218 Å, b = 8.9259 Å, c = 12.5375 Å
α = 90.00°, β = 90.00°, γ = 90.00°
Space group Imma (No. 74)
Inequivalent atoms, fractional coordinates:
Pa: 0.0000 0.0000 0.0000 (multiplicity 4)
Pa: 0.2500 0.2500 0.2500 (multiplicity 4)
Ag: 0.0000 0.2500 0.6252 (multiplicity 4)
Te: 0.0000 0.0085 0.2474 (multiplicity 8)
Te: 0.2417 0.2500 0.0024 (multiplicity 8)